No. 1
Here is a relaxed structure of Ac4Sn2N from Alexandria. Energies are from PBE.

Summary:
SG   P4/mmm (123)
Energy   -5.2944 eV per atom
Energy above the lowest structure with this stoichiometry   3.50 kcal/mol of atoms
Calculated density   7.4 g cm⁻³

Unit cell a=7.7273 b=7.7273 c=4.3799 alpha=90.00 beta=90.00 gamma=90.00
Last column: nearest neighbours and their distance in Å.
Sites, in units of the cell vectors:
Ac  0.2289  0.2289  0.0000  1 N 2.50
Ac  0.2289  0.7711  0.0000  1 N 2.50
Ac  0.7711  0.2289  0.0000  1 N 2.50
Ac  0.7711  0.7711  0.0000  1 N 2.50
Sn  0.0000  0.5000  0.5000  8 Ac 3.51
Sn  0.5000  0.0000  0.5000  8 Ac 3.51
N  0.0000  0.0000  0.0000  4 Ac 2.50



No. 2
Here is a relaxed structure of Tm3CdCo from Alexandria. Energies are from PBE.

Summary:
SG   Pm-3m (221)
Energy   -4.4110 eV per atom
Energy above the lowest structure with this stoichiometry   2.42 kcal/mol of atoms
Calculated density   8.5 g cm⁻³
Formation energy from the elements   -124 meV per atom

Unit cell a=5.0976 b=5.0976 c=5.0976 alpha=90.00 beta=90.00 gamma=90.00
Last column: nearest neighbours and their distance in Å.
Sites, in units of the cell vectors:
Tm  0.0000  0.0000  0.5000  2 Co 2.55
Tm  0.0000  0.5000  0.0000  2 Co 2.55
Tm  0.5000  0.0000  0.0000  2 Co 2.55
Cd  0.5000  0.5000  0.5000  12 Tm 3.60
Co  0.0000  0.0000  0.0000  6 Tm 2.55



No. 3
Here is a relaxed structure of Tm5InNi from Alexandria. Energies are from PBE.

Summary:
SG   C2/c (15)
Energy   -4.5388 eV per atom
Calculated density   8.9 g cm⁻³
Formation energy from the elements   -128 meV per atom

Unit cell a=6.4237 b=6.4237 c=11.0650 alpha=106.76 beta=106.76 gamma=62.56
Last column: nearest neighbours and their distance in Å.
Sites, in units of the cell vectors:
Tm  0.0216  0.9784  0.7500  2 Ni 2.77
Tm  0.0350  0.3988  0.6376  1 Ni 2.65
Tm  0.2050  0.5489  0.9552  1 Ni 2.53
Tm  0.3988  0.0350  0.1376  1 Ni 2.65
Tm  0.4511  0.7950  0.5448  1 Ni 2.53
Tm  0.5489  0.2050  0.4552  1 Ni 2.53
Tm  0.6012  0.9650  0.8624  1 Ni 2.65
Tm  0.7950  0.4511  0.0448  1 Ni 2.53
Tm  0.9650  0.6012  0.3624  1 Ni 2.65
Tm  0.9784  0.0216  0.2500  2 Ni 2.77
In  0.4696  0.5304  0.2500  10 Tm 3.22-3.59
In  0.5304  0.4696  0.7500  10 Tm 3.22-3.59
Ni  0.0000  0.0000  0.0000  6 Tm 2.53-2.77
Ni  0.0000  0.0000  0.5000  6 Tm 2.53-2.77



The highest calculated density belongs to which entry?
Tm5InNi



Repeat the first record exactly.
Here is a relaxed structure of Ac4Sn2N from Alexandria. Energies are from PBE.

Summary:
SG   P4/mmm (123)
Energy   -5.2944 eV per atom
Energy above the lowest structure with this stoichiometry   3.50 kcal/mol of atoms
Calculated density   7.4 g cm⁻³

Unit cell a=7.7273 b=7.7273 c=4.3799 alpha=90.00 beta=90.00 gamma=90.00
Last column: nearest neighbours and their distance in Å.
Sites, in units of the cell vectors:
Ac  0.2289  0.2289  0.0000  1 N 2.50
Ac  0.2289  0.7711  0.0000  1 N 2.50
Ac  0.7711  0.2289  0.0000  1 N 2.50
Ac  0.7711  0.7711  0.0000  1 N 2.50
Sn  0.0000  0.5000  0.5000  8 Ac 3.51
Sn  0.5000  0.0000  0.5000  8 Ac 3.51
N  0.0000  0.0000  0.0000  4 Ac 2.50



Please write out number 2 again, unchanged.
Here is a relaxed structure of Tm3CdCo from Alexandria. Energies are from PBE.

Summary:
SG   Pm-3m (221)
Energy   -4.4110 eV per atom
Energy above the lowest structure with this stoichiometry   2.42 kcal/mol of atoms
Calculated density   8.5 g cm⁻³
Formation energy from the elements   -124 meV per atom

Unit cell a=5.0976 b=5.0976 c=5.0976 alpha=90.00 beta=90.00 gamma=90.00
Last column: nearest neighbours and their distance in Å.
Sites, in units of the cell vectors:
Tm  0.0000  0.0000  0.5000  2 Co 2.55
Tm  0.0000  0.5000  0.0000  2 Co 2.55
Tm  0.5000  0.0000  0.0000  2 Co 2.55
Cd  0.5000  0.5000  0.5000  12 Tm 3.60
Co  0.0000  0.0000  0.0000  6 Tm 2.55